Record 1
AlGa2N, optimized geometry, DFT GGA-PBE; ΔE_f (raw) = 0.181 eV per atom; E_tot = -69.59 eV per cell
1.0
5.544 0.000 0.000
0.000 5.544 0.000
0.000 0.000 9.109
Al Ga N
4 8 4
Direct
0.000 0.000 0.000
0.000 0.500 0.250
0.500 0.000 0.750
0.500 0.500 0.500
0.162 0.250 0.625
0.250 0.662 0.875
0.250 0.838 0.375
0.338 0.250 0.125
0.662 0.750 0.125
0.750 0.162 0.375
0.750 0.338 0.875
0.838 0.750 0.625
0.000 0.000 0.500
0.000 0.500 0.750
0.500 0.000 0.250
0.500 0.500 0.000



Record 2
Dy3Mg2Ag4, optimized geometry, DFT GGA-PBE; E_tot = -30.54 eV per cell
1.0
4.362 -2.514 0.000
4.362 2.514 0.000
-0.005 0.000 9.285
Dy Mg Ag
3 2 4
Direct
0.000 0.000 0.000
0.334 0.334 0.594
0.666 0.666 0.406
0.333 0.333 0.222
0.667 0.667 0.778
0.001 0.001 0.662
0.333 0.333 0.916
0.667 0.667 0.084
0.999 0.999 0.338



Record 3
Tm8BTe3S3, optimized geometry, DFT GGA-PBE; ΔE_f (raw) = -1.304 eV per atom; E_tot = -83.81 eV per cell
1.0
3.946 2.278 6.954
-3.946 2.278 6.954
0.000 -4.557 6.954
Tm B Te S
8 1 3 3
Direct
0.234 0.234 0.234
0.255 0.721 0.721
0.279 0.279 0.745
0.279 0.745 0.279
0.721 0.255 0.721
0.721 0.721 0.255
0.745 0.279 0.279
0.766 0.766 0.766
0.500 0.500 0.500
0.000 0.500 0.500
0.500 0.000 0.500
0.500 0.500 0.000
0.000 0.000 0.500
0.000 0.500 0.000
0.500 0.000 0.000



Record 4
Tm4ZnCu2Pt, optimized geometry, DFT GGA-PBE; E_tot = -38.08 eV per cell
1.0
2.435 1.406 8.016
-2.435 1.406 8.016
0.000 -2.812 8.016
Tm Zn Cu Pt
4 1 2 1
Direct
0.122 0.122 0.122
0.373 0.373 0.373
0.627 0.627 0.627
0.878 0.878 0.878
0.500 0.500 0.500
0.243 0.243 0.243
0.757 0.757 0.757
0.000 0.000 0.000



Record 5
Hf3Ga4Pd4, optimized geometry, DFT GGA-PBE; E_tot = -69.58 eV per cell
1.0
-1.527 2.206 13.850
1.527 -2.206 13.850
1.527 2.206 -13.850
Hf Ga Pd
3 4 4
Direct
0.000 0.000 0.000
0.362 0.862 0.500
0.638 0.138 0.500
0.094 0.594 0.500
0.266 0.266 0.000
0.734 0.734 0.000
0.906 0.406 0.500
0.186 0.686 0.500
0.452 0.452 0.000
0.548 0.548 0.000
0.814 0.314 0.500



Record 6
Sr2CdOs, optimized geometry, DFT GGA-PBE; E_tot = -12.58 eV per cell
1.0
5.605 0.000 0.000
0.000 3.249 0.000
-0.069 0.000 6.274
Sr Cd Os
2 1 1
Direct
0.000 0.000 0.000
0.500 0.500 0.500
0.000 0.000 0.500
0.500 0.500 0.000



Record 7
Nd2CdAg3, optimized geometry, DFT GGA-PBE; E_tot = -40.36 eV per cell
1.0
4.103 0.000 0.000
0.000 4.161 0.000
0.000 0.000 18.256
Nd Cd Ag
4 2 6
Direct
0.000 0.000 0.000
0.000 0.500 0.232
0.500 0.000 0.732
0.500 0.500 0.500
0.000 0.000 0.409
0.500 0.500 0.909
0.000 0.000 0.565
0.000 0.500 0.660
0.000 0.500 0.810
0.500 0.000 0.160
0.500 0.000 0.310
0.500 0.500 0.065



Record 8
La2ThAs4Rh3, optimized geometry, DFT GGA-PBE; E_tot = -67.80 eV per cell
1.0
4.382 0.000 0.000
0.000 4.382 0.000
0.000 0.000 11.288
La Th As Rh
2 1 4 3
Direct
0.000 0.500 0.213
0.500 0.000 0.787
0.000 0.000 0.500
0.000 0.000 0.000
0.000 0.500 0.676
0.500 0.000 0.324
0.500 0.500 0.000
0.000 0.500 0.897
0.500 0.000 0.103
0.500 0.500 0.500



What did the seventh record say?
Nd2CdAg3, optimized geometry, DFT GGA-PBE; E_tot = -40.36 eV per cell
1.0
4.103 0.000 0.000
0.000 4.161 0.000
0.000 0.000 18.256
Nd Cd Ag
4 2 6
Direct
0.000 0.000 0.000
0.000 0.500 0.232
0.500 0.000 0.732
0.500 0.500 0.500
0.000 0.000 0.409
0.500 0.500 0.909
0.000 0.000 0.565
0.000 0.500 0.660
0.000 0.500 0.810
0.500 0.000 0.160
0.500 0.000 0.310
0.500 0.500 0.065